The following is a PBE calculation of Pm5Tl2HgIr2 after structural relaxation, from Alexandria.

- uncorrected energy (eV for the cell shown) = -102.78
- spin magnetization (μB/f.u.) = 0.00
- space-group type = No. 127

```
Pm5Tl2HgIr2
1.0
12.1439 0.0000 0.0000
0.0000 12.1439 0.0000
0.0000 0.0000 3.7992
Pm Tl Hg Ir
10 4 2 4
direct
0.0000 0.5000 0.0000 Pm
0.0786 0.2053 0.0000 Pm
0.2053 0.9214 0.0000 Pm
0.2947 0.4214 0.0000 Pm
0.4214 0.7053 0.0000 Pm
0.5000 0.0000 0.0000 Pm
0.5786 0.2947 0.0000 Pm
0.7053 0.5786 0.0000 Pm
0.7947 0.0786 0.0000 Pm
0.9214 0.7947 0.0000 Pm
0.1728 0.6728 0.5000 Tl
0.3272 0.1728 0.5000 Tl
0.6728 0.8272 0.5000 Tl
0.8272 0.3272 0.5000 Tl
0.0000 0.0000 0.5000 Hg
0.5000 0.5000 0.5000 Hg
0.1312 0.3688 0.5000 Ir
0.3688 0.8688 0.5000 Ir
0.6312 0.1312 0.5000 Ir
0.8688 0.6312 0.5000 Ir
```